(1)
VASP calculation (PBE) on crystalline HfSc4P5 at its relaxed geometry.

It has space group Immm (No. 71), with a = 3.736 Å, b = 5.285 Å, c = 18.736 Å, α = 90.00°, β = 90.00° and γ = 90.00°. The inequivalent atoms are Hf at (0.000, 0.000, 0.000), Sc at (0.000, 0.000, 0.200), Sc at (0.000, 0.000, 0.399), P at (0.000, 0.500, 0.000), P at (0.000, 0.500, 0.200) and P at (0.000, 0.500, 0.401).

For the energy of formation from the pure elements, the calculation gives -1471 meV/atom. The theoretical density is 4.6 g/cm³. The total energy comes out at -154.082 eV/cell. As for the volume: 369.9 Å³ per cell. As for the magnetization: 0.00 μB per formula unit.


(2)
VASP calculation (PBE) on crystalline MnTl3Zn at its relaxed geometry.

It has space group Pm-3m (No. 221), with a = 5.315 Å, b = 5.315 Å, c = 5.315 Å, α = 90.00°, β = 90.00° and γ = 90.00°. The inequivalent atoms are Mn at (0.000, 0.000, 0.000), Tl at (0.000, 0.500, 0.500) and Zn at (0.500, 0.500, 0.500).

For the energy of formation from the pure elements, the calculation gives 657 meV/atom. The theoretical density is 8.1 g/cm³. The total energy comes out at -14.258 eV/cell. As for the volume: 150.1 Å³ per cell. As for the magnetization: 4.69 μB per formula unit. The energy above the lowest structure with this stoichiometry is 1.02 eV per formula unit.


(3)
VASP calculation (PBE) on crystalline K2HgTe2 at its relaxed geometry.

It has space group I4/mmm (No. 139), with a = 6.901 Å, b = 6.901 Å, c = 9.066 Å, α = 90.00°, β = 90.00° and γ = 90.00°. The inequivalent atoms are K at (0.000, 0.500, 0.250), Hg at (0.000, 0.000, 0.000) and Te at (0.000, 0.000, 0.339).

Its formation energy from raw total energies is -3.2 eV/f.u. The theoretical density is 4.1 g/cm³. The total energy comes out at -23.867 eV/cell. As for the volume: 431.7 Å³ per cell. As for the magnetization: 0.00 μB per formula unit.


(4)
VASP calculation (PBE) on crystalline ScGa2Cu5 at its relaxed geometry.

It has space group Immm (No. 71), with a = 3.316 Å, b = 7.129 Å, c = 9.907 Å, α = 90.00°, β = 90.00° and γ = 90.00°. The inequivalent atoms are Sc at (0.000, 0.000, 0.000), Ga at (0.000, 0.500, 0.257), Cu at (0.000, 0.200, 0.372) and Cu at (0.000, 0.500, 0.000).

For the energy of formation from the pure elements, the calculation gives -167 meV/atom. The theoretical density is 7.1 g/cm³. The total energy comes out at -68.404 eV/cell. As for the volume: 234.2 Å³ per cell. As for the magnetization: 0.00 μB per formula unit.


(5)
VASP calculation (PBE) on crystalline Ce6MnHPb2 at its relaxed geometry.

It has space group I4/mmm (No. 139), with a = 7.091 Å, b = 7.091 Å, c = 9.869 Å, α = 90.00°, β = 90.00° and γ = 90.00°. The inequivalent atoms are Ce at (0.000, 0.000, 0.245), Ce at (0.238, 0.238, 0.500), Mn at (0.000, 0.000, 0.000), H at (0.000, 0.000, 0.500) and Pb at (0.000, 0.500, 0.250).

The theoretical density is 8.8 g/cm³. The total energy comes out at -116.199 eV/cell. As for the volume: 496.3 Å³ per cell. As for the magnetization: 3.54 μB per formula unit.


(6)
VASP calculation (PBE) on crystalline RbAlI4 at its relaxed geometry.

It has space group P2_1/m (No. 11), with a = 7.716 Å, b = 11.188 Å, c = 7.800 Å, α = 90.00°, β = 109.10° and γ = 90.00°. The inequivalent atoms are Rb at (0.094, 0.250, 0.222), Al at (0.194, 0.750, 0.332), I at (0.156, 0.250, 0.730), I at (0.281, 0.567, 0.180) and I at (0.358, 0.750, 0.676).

Its formation energy from raw total energies is -6.0 eV/f.u. The theoretical density is 3.2 g/cm³. The total energy comes out at -33.732 eV/cell. As for the volume: 636.3 Å³ per cell. As for the magnetization: 0.00 μB per formula unit.


(7)
VASP calculation (PBE) on crystalline AcPmPb at its relaxed geometry.

It has space group P4/nmm (No. 129, origin choice 2), with a = 4.880 Å, b = 4.880 Å, c = 9.127 Å, α = 90.00°, β = 90.00° and γ = 90.00°. The inequivalent atoms are Ac at (0.250, 0.250, 0.150), Pm at (0.250, 0.750, 0.500) and Pb at (0.250, 0.250, 0.762).

For the energy of formation from the pure elements, the calculation gives -434 meV/atom. The theoretical density is 8.9 g/cm³. The total energy comes out at -27.739 eV/cell. As for the volume: 217.3 Å³ per cell. As for the magnetization: 0.59 μB per formula unit. The energy above the lowest structure with this stoichiometry is 0.00 eV per formula unit.


(8)
VASP calculation (PBE) on crystalline Li7Mg2Ga at its relaxed geometry.

It has space group Cmmm (No. 65), with a = 5.419 Å, b = 24.499 Å, c = 2.868 Å, α = 90.00°, β = 90.00° and γ = 90.00°. The inequivalent atoms are Li at (0.000, 0.000, 0.000), Li at (0.000, 0.306, 0.500), Li at (0.233, 0.409, 0.000), Mg at (0.000, 0.196, 0.000) and Ga at (0.000, 0.500, 0.500).

For the energy of formation from the pure elements, the calculation gives -34 meV/atom. The theoretical density is 1.5 g/cm³. The total energy comes out at -39.896 eV/cell. As for the volume: 380.8 Å³ per cell. As for the magnetization: 0.00 μB per formula unit. The energy above the lowest structure with this stoichiometry is 0.00 eV per formula unit.


What is the volume in the third record? 431.7 Å³ per cell